{
  "formula": "Na2In2Pb",
  "functional": "PBE",
  "state": "optimized geometry",
  "ef_ev_per_atom": -0.101,
  "space_group": "C2/m",
  "polymorph_energy_mev_per_atom": 8,
  "lattice": [[5.648, -2.628, 0.000], [5.648, 2.628, 0.000], [-2.224, 0.000, 9.535]],
  "species": ["Na", "Na", "Na", "Na", "In", "In", "In", "In", "Pb", "Pb"],
  "frac_coords": [[0.062, 0.062, 0.356], [0.160, 0.160, 0.047], [0.840, 0.840, 0.953], [0.938, 0.938, 0.644], [0.362, 0.362, 0.437], [0.470, 0.470, 0.150], [0.530, 0.530, 0.850], [0.638, 0.638, 0.563], [0.242, 0.242, 0.728], [0.758, 0.758, 0.272]]
}

{
  "formula": "KCo3",
  "functional": "PBE",
  "state": "optimized geometry",
  "ef_ev_per_atom": 1.191,
  "space_group": "Cmmm",
  "polymorph_energy_mev_per_atom": 537,
  "lattice": [[2.741, -4.395, 0.000], [2.741, 4.395, 0.000], [0.000, 0.000, 2.502]],
  "species": ["K", "Co", "Co", "Co"],
  "frac_coords": [[0.000, 0.000, 0.000], [0.000, 0.500, 0.500], [0.500, 0.000, 0.500], [0.500, 0.500, 0.000]]
}

{
  "formula": "CsCrCuTe2",
  "functional": "PBE",
  "state": "optimized geometry",
  "space_group": "Cmme",
  "raw_formation_energy_ev_per_atom": -0.307,
  "lattice": [[3.286, -7.898, 0.000], [3.286, 7.898, 0.000], [0.000, 0.000, 6.449]],
  "species": ["Cs", "Cs", "Cr", "Cr", "Cu", "Cu", "Te", "Te", "Te", "Te"],
  "frac_coords": [[0.250, 0.750, 0.766], [0.750, 0.250, 0.234], [0.250, 0.250, 0.500], [0.750, 0.750, 0.500], [0.000, 0.000, 0.000], [0.500, 0.500, 0.000], [0.106, 0.894, 0.280], [0.394, 0.606, 0.280], [0.606, 0.394, 0.720], [0.894, 0.106, 0.720]]
}

{
  "formula": "MnIrRu",
  "functional": "PBE",
  "state": "optimized geometry",
  "ef_ev_per_atom": -0.024,
  "space_group": "Imm2",
  "polymorph_energy_mev_per_atom": 30,
  "lattice": [[-1.345, 1.865, 4.033], [1.345, -1.865, 4.033], [1.345, 1.865, -4.033]],
  "species": ["Mn", "Ir", "Ru"],
  "frac_coords": [[0.000, 0.000, 0.000], [0.666, 0.666, 0.000], [0.337, 0.337, 0.000]]
}

{
  "formula": "NdThCo",
  "functional": "PBE",
  "state": "optimized geometry",
  "ef_ev_per_atom": -0.087,
  "space_group": "P3m1",
  "polymorph_energy_mev_per_atom": 71,
  "lattice": [[3.888, 0.000, 0.000], [-1.944, 3.367, 0.000], [0.000, 0.000, 6.367]],
  "species": ["Nd", "Th", "Co"],
  "frac_coords": [[0.000, 0.000, 0.000], [0.333, 0.667, 0.492], [0.667, 0.333, 0.271]]
}

{
  "formula": "TbPm2Ta",
  "functional": "PBE",
  "state": "optimized geometry",
  "ef_ev_per_atom": 0.649,
  "space_group": "R-3m",
  "lattice": [[1.655, 0.956, 11.927], [-1.655, 0.956, 11.927], [0.000, -1.911, 11.927]],
  "species": ["Tb", "Pm", "Pm", "Ta"],
  "frac_coords": [[0.000, 0.000, 0.000], [0.418, 0.418, 0.418], [0.582, 0.582, 0.582], [0.500, 0.500, 0.500]]
}

{
  "formula": "ErHg2I6",
  "functional": "PBE",
  "state": "optimized geometry",
  "space_group": "C2/c",
  "raw_formation_energy_ev_per_atom": -0.694,
  "lattice": [[8.259, -6.788, 0.000], [8.259, 6.788, 0.000], [-1.336, 0.000, 7.668]],
  "species": ["Er", "Er", "Hg", "Hg", "Hg", "Hg", "I", "I", "I", "I", "I", "I", "I", "I", "I", "I", "I", "I"],
  "frac_coords": [[0.081, 0.919, 0.750], [0.919, 0.081, 0.250], [0.334, 0.494, 0.703], [0.494, 0.334, 0.203], [0.506, 0.666, 0.797], [0.666, 0.506, 0.297], [0.030, 0.178, 0.611], [0.110, 0.652, 0.854], [0.178, 0.030, 0.111], [0.251, 0.430, 0.340], [0.348, 0.890, 0.646], [0.430, 0.251, 0.840], [0.570, 0.749, 0.160], [0.652, 0.110, 0.354], [0.749, 0.570, 0.660], [0.822, 0.970, 0.889], [0.890, 0.348, 0.146], [0.970, 0.822, 0.389]]
}

{
  "formula": "FeMoPt6",
  "functional": "PBE",
  "state": "optimized geometry",
  "ef_ev_per_atom": -0.222,
  "space_group": "P4/mmm",
  "lattice": [[3.954, 0.000, 0.000], [0.000, 3.954, 0.000], [0.000, 0.000, 7.833]],
  "species": ["Fe", "Mo", "Pt", "Pt", "Pt", "Pt", "Pt", "Pt"],
  "frac_coords": [[0.000, 0.000, 0.000], [0.000, 0.000, 0.500], [0.000, 0.500, 0.250], [0.000, 0.500, 0.750], [0.500, 0.000, 0.250], [0.500, 0.000, 0.750], [0.500, 0.500, 0.000], [0.500, 0.500, 0.500]]
}

{
  "formula": "FeCo4Au",
  "functional": "PBE",
  "state": "optimized geometry",
  "ef_ev_per_atom": 0.150,
  "space_group": "F-43m",
  "lattice": [[0.000, 3.354, 3.354], [3.354, 0.000, 3.354], [3.354, 3.354, 0.000]],
  "species": ["Fe", "Co", "Co", "Co", "Co", "Au"],
  "frac_coords": [[0.000, 0.000, 0.000], [0.375, 0.375, 0.375], [0.375, 0.375, 0.876], [0.375, 0.876, 0.375], [0.876, 0.375, 0.375], [0.750, 0.750, 0.750]]
}

{
  "formula": "TbPr4Y5",
  "functional": "PBE",
  "state": "optimized geometry",
  "ef_ev_per_atom": 0.017,
  "space_group": "P4/mmm",
  "polymorph_energy_mev_per_atom": 0,
  "lattice": [[3.642, 0.000, 0.000], [0.000, 3.642, 0.000], [0.000, 0.000, 25.434]],
  "species": ["Tb", "Pr", "Pr", "Pr", "Pr", "Y", "Y", "Y", "Y", "Y"],
  "frac_coords": [[0.000, 0.000, 0.000], [0.000, 0.000, 0.198], [0.000, 0.000, 0.399], [0.000, 0.000, 0.601], [0.000, 0.000, 0.802], [0.500, 0.500, 0.097], [0.500, 0.500, 0.298], [0.500, 0.500, 0.500], [0.500, 0.500, 0.702], [0.500, 0.500, 0.903]]
}

{
  "formula": "Li2CoW",
  "functional": "PBE",
  "state": "optimized geometry",
  "ef_ev_per_atom": 0.463,
  "space_group": "P4/mmm",
  "polymorph_energy_mev_per_atom": 187,
  "lattice": [[2.537, 0.000, 0.000], [0.000, 2.537, 0.000], [0.000, 0.000, 8.741]],
  "species": ["Li", "Li", "Co", "W"],
  "frac_coords": [[0.000, 0.000, 0.230], [0.000, 0.000, 0.770], [0.500, 0.500, 0.000], [0.500, 0.500, 0.500]]
}

{
  "formula": "In2TeAs",
  "functional": "PBE",
  "state": "optimized geometry",
  "space_group": "Pmm2",
  "polymorph_energy_mev_per_atom": 167,
  "raw_formation_energy_ev_per_atom": 0.001,
  "lattice": [[5.835, 0.000, 0.000], [0.000, 5.842, 0.000], [0.000, 0.000, 3.197]],
  "species": ["In", "In", "Te", "As"],
  "frac_coords": [[0.000, 0.000, 0.000], [0.500, 0.500, 0.025], [0.500, 0.000, 0.477], [0.000, 0.500, 0.981]]
}

Across the entries above, M_tot takes the values 0.00; 4.93; 8.00; 1.69; 0.00; 0.00; 0.00; 3.47; 9.95; 0.00; 1.52; 0.00 Bohr magnetons per cell, respectively.